# Cs3Sm2Cl9

Crystalline Cs3Sm2Cl9 at its relaxed geometry (PBE, Alexandria via LeMat-Bulk).

Properties
**Total DFT energy (no corrections)**: -59.450 eV/f.u.
**Formation energy without anion corrections**: -2202 meV/atom
**DOS(E_F)**: 0.0 states/eV/f.u.
**Total magnetization**: 0.00 μB/f.u.

a b c (Å): 10.045 10.045 10.045
angles (deg): 84.78 84.78 84.78
Fractional positions:
1 Cs 0.750 0.086 0.414
2 Sm 0.853 0.853 0.853
3 Cs 0.250 0.914 0.586
4 Cs 0.086 0.414 0.750
5 Cl 0.917 0.267 0.079
6 Cl 0.267 0.079 0.917
7 Sm 0.647 0.647 0.647
8 Cl 0.921 0.083 0.733
9 Cl 0.750 0.599 0.901
10 Cs 0.914 0.586 0.250
11 Cl 0.079 0.917 0.267
12 Cs 0.414 0.750 0.086
13 Cl 0.421 0.233 0.583
14 Cl 0.579 0.767 0.417
15 Cl 0.250 0.401 0.099
16 Sm 0.147 0.147 0.147
17 Cl 0.599 0.901 0.750
18 Cl 0.401 0.099 0.250
19 Cl 0.583 0.421 0.233
20 Cl 0.083 0.733 0.921
21 Cl 0.901 0.750 0.599
22 Cl 0.733 0.921 0.083
23 Cl 0.099 0.250 0.401
24 Cl 0.417 0.579 0.767
25 Sm 0.353 0.353 0.353
26 Cl 0.233 0.583 0.421
27 Cs 0.586 0.250 0.914
28 Cl 0.767 0.417 0.579